[1]
A plane-wave DFT calculation with GGA-PBE was carried out for a relaxed structure of Ac2Ag2GeO6.

Results
crystal system: monoclinic
magnetization: 0.00 Bohr magnetons per cell
raw formation energy: -20.48 eV/f.u.
mass density: 6.56 g/cm3
volume: 19.30 Å³ per atom

a b c (Å): 6.331 6.331 6.271
angles (deg): 87.19 87.19 121.91
Sites, in units of the cell vectors:
O 0.028 0.754 0.326
O 0.715 0.715 0.645
O 0.285 0.285 0.355
O 0.246 0.972 0.674
O 0.754 0.028 0.326
O 0.972 0.246 0.674
Ac 0.337 0.663 0.500
Ac 0.663 0.337 0.500
Ag 0.865 0.135 0.000
Ag 0.135 0.865 0.000
Ge 0.000 0.000 0.500

***

[2]
A plane-wave DFT calculation with GGA-PBE was carried out for a relaxed structure of AcAgGe2O6.

Results
crystal system: monoclinic
magnetization: 0.00 Bohr magnetons per cell
raw formation energy: -18.84 eV/f.u.
mass density: 5.89 g/cm3
volume: 16.25 Å³ per atom

a b c (Å): 5.707 7.712 7.712
angles (deg): 90.12 78.23 78.23
Sites, in units of the cell vectors:
O 0.511 0.604 0.681
O 0.375 0.845 0.417
O 0.125 0.583 0.155
O 0.664 0.809 0.932
O 0.989 0.319 0.396
O 0.164 0.932 0.809
O 0.011 0.681 0.604
O 0.336 0.191 0.068
O 0.875 0.417 0.845
O 0.625 0.155 0.583
O 0.489 0.396 0.319
O 0.836 0.068 0.191
Ac 0.750 0.129 0.871
Ac 0.250 0.871 0.129
Ge 0.269 0.775 0.630
Ge 0.231 0.370 0.225
Ge 0.769 0.630 0.775
Ge 0.731 0.225 0.370
Ag 0.750 0.687 0.313
Ag 0.250 0.313 0.687

***

[3]
A plane-wave DFT calculation with GGA-PBE was carried out for a relaxed structure of Ac2AgGeO6.

Results
crystal system: tetragonal
magnetization: 0.00 Bohr magnetons per cell
raw formation energy: -21.44 eV/f.u.
mass density: 8.30 g/cm3
volume: 14.62 Å³ per atom

a b c (Å): 4.448 5.733 5.733
angles (deg): 90.00 90.00 90.00
Sites, in units of the cell vectors:
Ag 0.606 0.500 0.500
O 0.201 0.000 0.000
O 0.703 0.775 0.225
O 0.703 0.775 0.775
O 0.119 0.500 0.500
O 0.703 0.225 0.775
O 0.703 0.225 0.225
Ge 0.604 0.000 0.000
Ac 0.053 0.500 0.000
Ac 0.053 0.000 0.500

***

[4]
A plane-wave DFT calculation with GGA-PBE was carried out for a relaxed structure of AcAgGeO4.

Results
crystal system: orthorhombic
magnetization: 0.00 Bohr magnetons per cell
raw formation energy: -13.46 eV/f.u.
mass density: 7.09 g/cm3
volume: 15.79 Å³ per atom

a b c (Å): 6.068 6.755 6.755
angles (deg): 77.39 63.31 63.31
Sites, in units of the cell vectors:
O 0.754 0.244 0.744
O 0.258 0.244 0.744
O 0.718 0.352 0.213
O 0.282 0.648 0.787
O 0.742 0.756 0.256
O 0.282 0.287 0.148
O 0.246 0.756 0.256
O 0.718 0.713 0.852
Ac 0.000 0.500 0.500
Ac 0.000 0.000 0.000
Ag 0.000 0.000 0.500
Ag 0.500 0.000 0.500
Ge 0.617 0.633 0.133
Ge 0.383 0.367 0.867

***

[5]
A plane-wave DFT calculation with GGA-PBE was carried out for a relaxed structure of AcAgGePb.

Results
crystal system: cubic
magnetization: 0.00 Bohr magnetons per cell
mass density: 9.33 g/cm3
volume: 27.35 Å³ per atom
formation energy from the elements: -0.24 eV/atom

a b c (Å): 5.368 5.368 5.368
angles (deg): 60.00 60.00 60.00
Sites, in units of the cell vectors:
Pb 0.500 0.500 0.500
Ag 0.750 0.750 0.750
Ge 0.250 0.250 0.250
Ac 0.000 0.000 0.000

***

[6]
A plane-wave DFT calculation with GGA-PBE was carried out for a relaxed structure of Ac2Ag4Ge3Pb.

Results
crystal system: tetragonal
magnetization: 0.00 Bohr magnetons per cell
mass density: 9.10 g/cm3
volume: 23.93 Å³ per atom
formation energy from the elements: -0.35 eV/atom

a b c (Å): 4.566 4.566 11.475
angles (deg): 90.00 90.00 90.00
Sites, in units of the cell vectors:
Ge 0.000 0.000 0.500
Ge 0.000 0.500 0.127
Ge 0.500 0.000 0.873
Ag 0.000 0.000 0.000
Ag 0.500 0.000 0.649
Ag 0.000 0.500 0.351
Ag 0.500 0.500 0.000
Ac 0.000 0.500 0.770
Ac 0.500 0.000 0.230
Pb 0.500 0.500 0.500

***

no.,calculated total energy (eV/atom)
1,-6.25
2,-6.48
3,-6.69
4,-6.41
5,-4.06
6,-4.07